{
  "formula": "TlCdHg2",
  "functional": "PBE",
  "state": "optimized geometry",
  "lattice": [[3.239, 0.000, 0.000], [0.000, 4.960, 0.000], [0.000, 0.000, 6.761]],
  "species": ["Tl", "Cd", "Hg", "Hg"],
  "frac_coords": [[0.000, 0.000, 0.000], [0.500, 0.500, 0.268], [0.000, 0.000, 0.492], [0.500, 0.500, 0.741]],
  "formation_energy_mev_per_atom": 19,
  "relative_energy_kj_per_mol_atoms": 2.5,
  "dos_ef_per_ev_fu": 1.3,
  "final_energy_ev_per_atom": -0.95
}